(1)
Material: CoRh2Au
Method: DFT, PBE
State: relaxed

abc: 2.749 3.778 5.603
angles: 90.00 90.00 90.00
Space group Pmm2 (No. 25)
Unique sites:
Co  0.000  0.000  0.000
Rh  0.000  0.000  0.458
Rh  0.500  0.500  0.221
Au  0.500  0.500  0.737

Computed properties:
VASP energy in eV/atom: -6.11
Relative energy among the computed polymorphs in meV/atom: 41

(2)
Material: CoRh2Au
Method: DFT, PBE
State: relaxed

abc: 6.979 6.979 5.224
angles: 90.00 90.00 90.00
Space group I-42d (No. 122)
Unique sites:
Co  0.000  0.000  0.000
Rh  0.205  0.250  0.125
Au  0.000  0.000  0.500

Computed properties:
VASP energy in eV/atom: -5.79
Relative energy among the computed polymorphs in meV/atom: 354

(3)
Material: CoRh2Au
Method: DFT, PBE
State: relaxed

abc: 6.207 6.207 6.207
angles: 90.00 90.00 90.00
Space group Fm-3m (No. 225)
Unique sites:
Co  0.000  0.000  0.000
Rh  0.250  0.250  0.250
Au  0.000  0.000  0.500

Computed properties:
VASP energy in eV/atom: -5.97
Relative energy among the computed polymorphs in meV/atom: 181

(4)
Material: CoRhAu
Method: DFT, PBE
State: relaxed

abc: 5.976 5.976 5.976
angles: 90.00 90.00 90.00
Space group F-43m (No. 216)
Unique sites:
Co  0.000  0.000  0.000
Rh  0.250  0.250  0.750
Au  0.000  0.000  0.500

Computed properties:
VASP energy in eV/atom: -5.28
Relative energy among the computed polymorphs in meV/atom: 501

(5)
Material: Co3RhAu
Method: DFT, PBE
State: relaxed

abc: 4.514 4.514 4.514
angles: 90.00 90.00 90.00
Space group Pm-3m (No. 221)
Unique sites:
Co  0.000  0.000  0.500
Rh  0.000  0.000  0.000
Au  0.500  0.500  0.500

Computed properties:
VASP energy in eV/atom: -5.08
Relative energy among the computed polymorphs in meV/atom: 0

(6)
Material: CoRh2Au
Method: DFT, PBE
State: relaxed

abc: 9.027 2.761 4.770
angles: 90.00 100.53 90.00
Space group Cm (No. 8)
Unique sites:
Co  0.000  0.000  0.000
Rh  0.242  0.500  0.239
Rh  0.491  0.000  0.465
Au  0.248  0.000  0.747

Computed properties:
VASP energy in eV/atom: -6.08
Relative energy among the computed polymorphs in meV/atom: 71

(7)
Material: CoRh2Au
Method: DFT, PBE
State: relaxed

abc: 3.862 3.862 7.806
angles: 90.00 90.00 90.00
Space group I-4m2 (No. 119)
Unique sites:
Co  0.000  0.000  0.000
Rh  0.000  0.000  0.500
Rh  0.000  0.500  0.250
Au  0.000  0.500  0.750

Computed properties:
VASP energy in eV/atom: -6.08
Relative energy among the computed polymorphs in meV/atom: 67

(8)
Material: CoRh2Au
Method: DFT, PBE
State: relaxed

abc: 9.131 2.754 4.713
angles: 90.00 101.57 90.00
Space group C2/m (No. 12)
Unique sites:
Co  0.000  0.000  0.000
Rh  0.240  0.500  0.234
Au  0.000  0.500  0.500

Computed properties:
VASP energy in eV/atom: -6.11
Relative energy among the computed polymorphs in meV/atom: 34

(9)
Material: CoRh2Au
Method: DFT, PBE
State: relaxed

abc: 2.764 4.567 9.298
angles: 90.00 90.00 90.00
Space group Immm (No. 71)
Unique sites:
Co  0.000  0.000  0.000
Rh  0.000  0.500  0.275
Au  0.000  0.000  0.500

Computed properties:
VASP energy in eV/atom: -6.06
Relative energy among the computed polymorphs in meV/atom: 92

(10)
Material: CoRh2Au
Method: DFT, PBE
State: relaxed

abc: 2.751 2.751 7.650
angles: 90.00 90.00 90.00
Space group P4/mmm (No. 123)
Unique sites:
Co  0.000  0.000  0.000
Rh  0.500  0.500  0.221
Au  0.000  0.000  0.500

Computed properties:
VASP energy in eV/atom: -6.14
Relative energy among the computed polymorphs in meV/atom: 5

(11)
Material: CoRh2Au
Method: DFT, PBE
State: relaxed

abc: 3.880 3.880 3.862
angles: 90.00 90.00 90.00
Space group P4/mmm (No. 123)
Unique sites:
Co  0.000  0.000  0.000
Rh  0.000  0.500  0.500
Au  0.500  0.500  0.000

Computed properties:
VASP energy in eV/atom: -6.07
Relative energy among the computed polymorphs in meV/atom: 74

(12)
Material: CoRh2Au
Method: DFT, PBE
State: relaxed

abc: 5.472 7.701 2.778
angles: 90.00 90.00 90.00
Space group Cmmm (No. 65)
Unique sites:
Co  0.000  0.000  0.000
Rh  0.250  0.250  0.500
Au  0.000  0.500  0.000

Computed properties:
VASP energy in eV/atom: -6.05
Relative energy among the computed polymorphs in meV/atom: 98

M_tot for the records above, in order: 2.673 3.697 4.070 2.954 7.155 3.329 3.578 3.127 2.960 3.003 3.549 3.622 μB/f.u.